1.
DFT (PBE) results for a relaxed ZrGaCu crystal.

## Properties
The calculation puts the size of the total moment at 0.0 Bohr magnetons per cell. The crystal system is hexagonal. The calculation puts the energy relative to the elements at -356 meV/atom. The value obtained for the density is 7.5 Mg/m³.

abc: 4.507 4.507 5.684
angles: 90.00 90.00 59.95
Fractional coordinates of all 6 atoms:
Ga1 0.667 0.310 0.213
Zr1 0.334 0.977 0.463
Cu1 0.334 0.976 0.963
Ga2 0.667 0.310 0.713
Zr2 0.001 0.643 0.963
Cu2 0.001 0.643 0.463

2.
DFT (PBE) results for a relaxed La2Y2Zn crystal.

## Properties
The calculation puts the size of the total moment at 0.0 Bohr magnetons per cell. The crystal system is tetragonal. The calculation puts the energy relative to the elements at 65 meV/atom. The polymorph energy (0 for the lowest one) comes out at 196 meV per atom. The value obtained for the density is 5.3 Mg/m³.

abc: 7.783 7.783 5.377
angles: 90.00 90.00 90.00
Fractional coordinates of all 10 atoms:
La1 0.844 0.344 0.500
Zn1 0.500 0.500 0.000
La2 0.156 0.656 0.500
Zn2 0.000 0.000 0.000
Y1 0.653 0.153 0.000
Y2 0.153 0.347 0.000
La3 0.344 0.156 0.500
Y3 0.847 0.653 0.000
Y4 0.347 0.847 0.000
La4 0.656 0.844 0.500

3.
DFT (PBE) results for a relaxed Np2Al2FeSi4 crystal.

## Properties
The calculation puts the size of the total moment at 7.6 Bohr magnetons per cell. The crystal system is tetragonal. The total energy is -7.3569 eV/atom. The value obtained for the density is 7.9 Mg/m³.

abc: 5.904 5.904 5.904
angles: 90.53 119.69 119.69
Site moments in Bohr magnetons follow the coordinates.
Fractional coordinates of all 9 atoms:
Si1 0.000 0.726 0.274  -0.01
Np1 0.500 0.750 0.250  3.53
Np2 0.500 0.250 0.750  3.53
Al1 0.000 0.718 0.718  0.00
Fe1 0.000 0.000 0.000  0.11
Al2 0.000 0.282 0.282  0.00
Si2 0.547 0.274 0.274  -0.01
Si3 0.000 0.274 0.726  -0.01
Si4 0.453 0.726 0.726  -0.01

4.
DFT (PBE) results for a relaxed CdW2Br crystal.

## Properties
The calculation puts the size of the total moment at 0.0 Bohr magnetons per cell. The crystal system is tetragonal. The polymorph energy (0 for the lowest one) comes out at 876 meV per atom. The value obtained for the density is 12.9 Mg/m³.

abc: 2.859 2.859 8.843
angles: 90.00 90.00 90.00
Fractional coordinates of all 4 atoms:
Br1 0.500 0.500 0.250
W1 0.000 0.000 0.493
Cd1 0.500 0.500 0.750
W2 0.000 0.000 0.007

5.
DFT (PBE) results for a relaxed GdErCoRh crystal.

## Properties
The calculation puts the size of the total moment at 6.4 Bohr magnetons per cell. The crystal system is cubic. The calculation puts the energy relative to the elements at -490 meV/atom. The value obtained for the density is 10.4 Mg/m³.

abc: 4.795 4.795 4.795
angles: 60.00 60.00 60.00
Site moments in Bohr magnetons follow the coordinates.
Fractional coordinates of all 4 atoms:
Co1 0.500 0.500 0.500  0.81
Rh1 0.000 0.000 0.000  0.19
Gd1 0.250 0.250 0.250  -7.09
Er1 0.750 0.750 0.750  -0.14

6.
DFT (PBE) results for a relaxed Li2Bi2Pd3 crystal.

## Properties
The calculation puts the size of the total moment at 0.0 Bohr magnetons per cell. The crystal system is monoclinic. The calculation puts the energy relative to the elements at -357 meV/atom. The value obtained for the density is 9.7 Mg/m³.

abc: 5.933 7.771 5.636
angles: 97.42 90.00 90.00
Fractional coordinates of all 14 atoms:
Li1 0.229 0.705 0.052
Pd1 0.553 0.019 0.768
Bi1 0.201 0.806 0.560
Li2 0.271 0.205 0.552
Li3 0.729 0.795 0.448
Pd2 0.500 0.500 0.500
Pd3 0.447 0.981 0.232
Li4 0.771 0.295 0.948
Bi2 0.701 0.694 0.940
Pd4 0.053 0.481 0.732
Bi3 0.299 0.306 0.060
Pd5 0.947 0.519 0.268
Bi4 0.799 0.194 0.440
Pd6 0.000 0.000 0.000

7.
DFT (PBE) results for a relaxed La4PmEr7 crystal.

## Properties
The calculation puts the size of the total moment at 0.0 Bohr magnetons per cell. The crystal system is monoclinic. The calculation puts the energy relative to the elements at 248 meV/atom. The value obtained for the density is 7.5 Mg/m³.

abc: 5.936 11.834 6.762
angles: 83.40 63.96 75.47
Fractional coordinates of all 12 atoms:
La1 0.216 0.339 0.228
Er1 0.633 0.506 0.227
La2 0.366 0.778 0.491
La3 0.784 0.661 0.772
La4 0.634 0.222 0.509
Pm1 0.000 0.000 0.000
Er2 0.500 0.000 0.000
Er3 0.072 0.690 0.166
Er4 0.367 0.494 0.773
Er5 0.211 0.076 0.502
Er6 0.789 0.924 0.498
Er7 0.928 0.310 0.834

8.
DFT (PBE) results for a relaxed MnZn2WI crystal.

## Properties
The calculation puts the size of the total moment at 1.2 Bohr magnetons per cell. The crystal system is tetragonal. The total energy is -3.9731 eV/atom. The value obtained for the density is 6.8 Mg/m³.

abc: 5.174 4.496 5.174
angles: 90.00 90.00 90.00
Site moments in Bohr magnetons follow the coordinates.
Fractional coordinates of all 5 atoms:
Zn1 0.500 0.000 0.000  0.03
I1 0.500 0.500 0.500  0.03
Mn1 0.000 0.500 0.000  0.03
Zn2 0.000 0.000 0.500  0.03
W1 0.000 0.000 0.000  0.77

N(E_F)? In order: 0.22, 1.21, 1.44, 0.66, 0.42, 0.33, 1.63, 0.73 states/eV per atom.